! GGA-PBE ScCd3I, optimized geometry; values from VASP
! energy relative to the elements, uncorrected = 363 meV per atom
! energy above the lowest structure with this stoichiometry = 0 meV/atom
&SYSTEM
  ibrav = 0, nat = 5, ntyp = 3
/
ATOMIC_SPECIES
Cd 112.41 Cd.upf
Sc 44.96 Sc.upf
I 126.90 I.upf
CELL_PARAMETERS angstrom
5.823 0.000 0.000
0.000 5.823 0.000
0.000 0.000 5.823
ATOMIC_POSITIONS crystal
Cd 0.000 0.000 0.500
Cd 0.500 0.000 0.000
Sc 0.000 0.000 0.000
I 0.500 0.500 0.500
Cd 0.000 0.500 0.000